## w
Compound: Pm2SbS5
Source: Alexandria via LeMat-Bulk
Functional: PBE
Structure: optimized geometry

```
data_Pm2SbS5
_chemical_formula_sum 'Pm8 Sb4 S20'
_cell_length_a 5.329
_cell_length_b 13.780
_cell_length_c 13.152
_cell_angle_alpha 90.00
_cell_angle_beta 90.00
_cell_angle_gamma 90.00
_symmetry_space_group_name_H-M 'C m c m'
_symmetry_Int_Tables_number 63
_symmetry_space_group_name_Hall '-C 2c 2'
loop_
_atom_site_label
_atom_site_fract_x
_atom_site_fract_y
_atom_site_fract_z
Pm1 0.000 0.153 0.068
Sb1 0.000 0.167 0.750
S1 0.000 0.044 0.610
S2 0.000 0.277 0.250
S3 0.000 0.295 0.589
```

=====

## x
Compound: Pm2SbS5
Source: Alexandria via LeMat-Bulk
Functional: PBE
Structure: optimized geometry

```
data_Pm2SbS5
_chemical_formula_sum 'Pm4 Sb2 S10'
_cell_length_a 7.782
_cell_length_b 11.491
_cell_length_c 3.991
_cell_angle_alpha 90.00
_cell_angle_beta 90.00
_cell_angle_gamma 90.00
_symmetry_space_group_name_H-M 'P b a m'
_symmetry_Int_Tables_number 55
_symmetry_space_group_name_Hall '-P 2 2ab'
loop_
_atom_site_label
_atom_site_fract_x
_atom_site_fract_y
_atom_site_fract_z
Pm1 0.039 0.173 0.000
Sb1 0.000 0.500 0.500
S1 0.000 0.000 0.500
S2 0.174 0.699 0.500
S3 0.176 0.409 0.000
```

=====

Ranked by calculated energy, most stable first: x, w.

=====

## w
Compound: PmScS3
Source: Alexandria via LeMat-Bulk
Functional: PBE
Structure: optimized geometry

```
data_PmScS3
_chemical_formula_sum 'Pm6 Sc6 S18'
_cell_length_a 6.8023
_cell_length_b 6.8023
_cell_length_c 18.2189
_cell_angle_alpha 90.00
_cell_angle_beta 90.00
_cell_angle_gamma 120.00
_symmetry_space_group_name_H-M 'R -3'
_symmetry_Int_Tables_number 148
_symmetry_space_group_name_Hall '-R 3'
loop_
_atom_site_label
_atom_site_fract_x
_atom_site_fract_y
_atom_site_fract_z
Pm1 0.0000 0.0000 0.1419
Sc1 0.0000 0.0000 0.3437
S1 0.0190 0.6368 0.9194
```

=====

## x
Compound: PmScS3
Source: Alexandria via LeMat-Bulk
Functional: PBE
Structure: optimized geometry

```
data_PmScS3
_chemical_formula_sum 'Pm4 Sc4 S12'
_cell_length_a 8.007
_cell_length_b 3.806
_cell_length_c 14.029
_cell_angle_alpha 90.00
_cell_angle_beta 90.00
_cell_angle_gamma 90.00
_symmetry_space_group_name_H-M 'P n m a'
_symmetry_Int_Tables_number 62
_symmetry_space_group_name_Hall '-P 2ac 2n'
loop_
_atom_site_label
_atom_site_fract_x
_atom_site_fract_y
_atom_site_fract_z
Pm1 0.135 0.250 0.197
Sc1 0.185 0.750 0.458
S1 0.003 0.250 0.389
S2 0.156 0.250 0.797
S3 0.161 0.750 0.047
```

=====

Ranked by calculated energy, most stable first: x, w.

=====

## w
Compound: Pm2ScS3
Source: Alexandria via LeMat-Bulk
Functional: PBE
Structure: optimized geometry

```
data_Pm2ScS3
_chemical_formula_sum 'Pm2 Sc1 S3'
_cell_length_a 3.9079
_cell_length_b 3.9079
_cell_length_c 9.6798
_cell_angle_alpha 90.00
_cell_angle_beta 90.00
_cell_angle_gamma 120.00
_symmetry_space_group_name_H-M 'P -3 m 1'
_symmetry_Int_Tables_number 164
_symmetry_space_group_name_Hall '-P 3 2"'
loop_
_atom_site_label
_atom_site_fract_x
_atom_site_fract_y
_atom_site_fract_z
Pm1 0.3333 0.6667 0.1750
Sc1 0.0000 0.0000 0.5000
S1 0.0000 0.0000 0.0000
S2 0.3333 0.6667 0.6441
```

=====

## x
Compound: Pm2ScS3
Source: Alexandria via LeMat-Bulk
Functional: PBE
Structure: optimized geometry

```
data_Pm2ScS3
_chemical_formula_sum 'Pm4 Sc2 S6'
_cell_length_a 3.768
_cell_length_b 4.726
_cell_length_c 15.172
_cell_angle_alpha 90.00
_cell_angle_beta 90.00
_cell_angle_gamma 90.00
_symmetry_space_group_name_H-M 'I m m m'
_symmetry_Int_Tables_number 71
_symmetry_space_group_name_Hall '-I 2 2'
loop_
_atom_site_label
_atom_site_fract_x
_atom_site_fract_y
_atom_site_fract_z
Pm1 0.000 0.000 0.145
Sc1 0.000 0.000 0.500
S1 0.000 0.000 0.331
S2 0.000 0.500 0.500
```

=====

Ranked by calculated energy, most stable first: w, x.

=====

## w
Compound: Pm3Se2S
Source: Alexandria via LeMat-Bulk
Functional: PBE
Structure: optimized geometry

```
data_Pm3Se2S
_chemical_formula_sum 'Pm6 Se4 S2'
_cell_length_a 4.0990
_cell_length_b 4.0990
_cell_length_c 20.9716
_cell_angle_alpha 90.00
_cell_angle_beta 90.00
_cell_angle_gamma 120.00
_symmetry_space_group_name_H-M 'P 63/m m c'
_symmetry_Int_Tables_number 194
_symmetry_space_group_name_Hall '-P 6c 2c'
loop_
_atom_site_label
_atom_site_fract_x
_atom_site_fract_y
_atom_site_fract_z
Pm1 0.0000 0.0000 0.0000
Pm2 0.3333 0.6667 0.1660
Se1 0.3333 0.6667 0.5839
S1 0.0000 0.0000 0.2500
```

=====

## x
Compound: Pm3Se2S
Source: Alexandria via LeMat-Bulk
Functional: PBE
Structure: optimized geometry

```
data_Pm3Se2S
_chemical_formula_sum 'Pm12 Se8 S4'
_cell_length_a 14.680
_cell_length_b 8.587
_cell_length_c 5.792
_cell_angle_alpha 90.00
_cell_angle_beta 90.00
_cell_angle_gamma 90.00
_symmetry_space_group_name_H-M 'C m c m'
_symmetry_Int_Tables_number 63
_symmetry_space_group_name_Hall '-C 2c 2'
loop_
_atom_site_label
_atom_site_fract_x
_atom_site_fract_y
_atom_site_fract_z
Pm1 0.000 0.182 0.250
Pm2 0.138 0.359 0.750
Se1 0.182 0.312 0.250
S1 0.000 0.142 0.750
```

=====

Ranked by calculated energy, most stable first: w, x.

=====

## w
Compound: Pm2SiS
Source: Alexandria via LeMat-Bulk
Functional: PBE
Structure: optimized geometry

```
data_Pm2SiS
_chemical_formula_sum 'Pm8 Si4 S4'
_cell_length_a 4.218
_cell_length_b 22.450
_cell_length_c 3.974
_cell_angle_alpha 90.00
_cell_angle_beta 90.00
_cell_angle_gamma 90.00
_symmetry_space_group_name_H-M 'C m c m'
_symmetry_Int_Tables_number 63
_symmetry_space_group_name_Hall '-C 2c 2'
loop_
_atom_site_label
_atom_site_fract_x
_atom_site_fract_y
_atom_site_fract_z
Pm1 0.000 0.067 0.250
Pm2 0.000 0.315 0.250
Si1 0.000 0.464 0.250
S1 0.000 0.191 0.250
```

=====

## x
Compound: Pm2SiS
Source: Alexandria via LeMat-Bulk
Functional: PBE
Structure: optimized geometry

```
data_Pm2SiS
_chemical_formula_sum 'Pm6 Si3 S3'
_cell_length_a 4.1340
_cell_length_b 4.1340
_cell_length_c 20.5201
_cell_angle_alpha 90.00
_cell_angle_beta 90.00
_cell_angle_gamma 120.00
_symmetry_space_group_name_H-M 'R -3 m'
_symmetry_Int_Tables_number 166
_symmetry_space_group_name_Hall '-R 3 2"'
loop_
_atom_site_label
_atom_site_fract_x
_atom_site_fract_y
_atom_site_fract_z
Pm1 0.0000 0.0000 0.2502
Si1 0.0000 0.0000 0.5000
S1 0.0000 0.0000 0.0000
```

=====

## y
Compound: Pm2SiS
Source: Alexandria via LeMat-Bulk
Functional: PBE
Structure: optimized geometry

```
data_Pm2SiS
_chemical_formula_sum 'Pm2 Si1 S1'
_cell_length_a 3.429
_cell_length_b 3.429
_cell_length_c 7.637
_cell_angle_alpha 90.00
_cell_angle_beta 90.00
_cell_angle_gamma 90.00
_symmetry_space_group_name_H-M 'P 4/m m m'
_symmetry_Int_Tables_number 123
_symmetry_space_group_name_Hall '-P 4 2'
loop_
_atom_site_label
_atom_site_fract_x
_atom_site_fract_y
_atom_site_fract_z
Pm1 0.000 0.000 0.240
Si1 0.500 0.500 0.500
S1 0.500 0.500 0.000
```

=====

## z
Compound: Pm2SiS
Source: Alexandria via LeMat-Bulk
Functional: PBE
Structure: optimized geometry

```
data_Pm2SiS
_chemical_formula_sum 'Pm6 Si3 S3'
_cell_length_a 4.0770
_cell_length_b 4.0770
_cell_length_c 21.5925
_cell_angle_alpha 90.00
_cell_angle_beta 90.00
_cell_angle_gamma 120.00
_symmetry_space_group_name_H-M 'R 3 m'
_symmetry_Int_Tables_number 160
_symmetry_space_group_name_Hall 'R 3 -2"'
loop_
_atom_site_label
_atom_site_fract_x
_atom_site_fract_y
_atom_site_fract_z
Pm1 0.0000 0.0000 0.0000
Pm2 0.0000 0.0000 0.1735
Si1 0.0000 0.0000 0.5868
S1 0.0000 0.0000 0.4172
```

=====

Ranked by calculated energy, most stable first: w, x, z, y.

=====

## w
Compound: PmSm3S4
Source: Alexandria via LeMat-Bulk
Functional: PBE
Structure: optimized geometry

```
data_PmSm3S4
_chemical_formula_sum 'Pm1 Sm3 S4'
_cell_length_a 5.679
_cell_length_b 5.679
_cell_length_c 5.679
_cell_angle_alpha 90.00
_cell_angle_beta 90.00
_cell_angle_gamma 90.00
_symmetry_space_group_name_H-M 'P m -3 m'
_symmetry_Int_Tables_number 221
_symmetry_space_group_name_Hall '-P 4 2 3'
loop_
_atom_site_label
_atom_site_fract_x
_atom_site_fract_y
_atom_site_fract_z
Pm1 0.000 0.000 0.000
Sm1 0.000 0.500 0.500
S1 0.000 0.000 0.500
S2 0.500 0.500 0.500
```

=====

## x
Compound: PmSm3S4
Source: Alexandria via LeMat-Bulk
Functional: PBE
Structure: optimized geometry

```
data_PmSm3S4
_chemical_formula_sum 'Pm2 Sm6 S8'
_cell_length_a 5.675
_cell_length_b 5.675
_cell_length_c 11.369
_cell_angle_alpha 90.00
_cell_angle_beta 90.00
_cell_angle_gamma 90.00
_symmetry_space_group_name_H-M 'I 4/m m m'
_symmetry_Int_Tables_number 139
_symmetry_space_group_name_Hall '-I 4 2'
loop_
_atom_site_label
_atom_site_fract_x
_atom_site_fract_y
_atom_site_fract_z
Pm1 0.000 0.000 0.000
Sm1 0.000 0.000 0.500
Sm2 0.000 0.500 0.250
S1 0.000 0.000 0.251
S2 0.000 0.500 0.000
```

=====

Ranked by calculated energy, most stable first: x, w.